1.
K2Mg3Sn5 after structural relaxation, computed with PBE.

Values from the calculation:
The calculation puts the density at 4.067 g cm⁻³. The formation energy is -0.20 eV per atom.

a b c (Å): 6.9733 9.9865 9.9865
angles (deg): 78.33 69.57 69.57
Last column: nearest neighbours and their distance in Å.
Fractional coordinates of all 20 atoms:
Sn: 0.5086 0.2414 0.2414  3 Mg 3.01-3.34, 2 Sn 3.03
K: 0.3725 0.8708 0.3843  10 Sn 3.68-4.00, 6 Mg 3.75-4.08
Sn: 0.7500 0.5000 0.5000  4 Mg 2.97
Sn: 0.4914 0.7586 0.7586  3 Mg 3.01-3.34, 2 Sn 3.03
K: 0.1275 0.6157 0.1292  10 Sn 3.68-4.00, 6 Mg 3.75-4.08
K: 0.8725 0.3843 0.8708  10 Sn 3.68-4.00, 6 Mg 3.75-4.08
Sn: 0.1169 0.0240 0.7422  3 Mg 2.89-2.97, 2 Sn 3.03
Mg: 0.3728 0.4969 0.7575  5 Sn 2.89-3.01
Mg: 0.2500 0.0000 0.0000  4 Sn 2.97
Sn: 0.9914 0.7586 0.7586  3 Mg 3.01-3.34, 2 Sn 3.03
Mg: 0.1272 0.2425 0.5031  5 Sn 2.89-3.01
Sn: 0.3831 0.2578 0.9760  3 Mg 2.89-2.97, 2 Sn 3.03
Sn: 0.8831 0.9760 0.2578  3 Mg 2.89-2.97, 2 Sn 3.03
Sn: 0.6169 0.7422 0.0240  3 Mg 2.89-2.97, 2 Sn 3.03
Mg: 0.8728 0.7575 0.4969  5 Sn 2.89-3.01
Sn: 0.0086 0.2414 0.2414  3 Mg 3.01-3.34, 2 Sn 3.03
Mg: 0.6272 0.5031 0.2425  5 Sn 2.89-3.01
Mg: 0.7500 0.0000 0.0000  4 Sn 2.97
Sn: 0.2500 0.5000 0.5000  4 Mg 2.97
K: 0.6275 0.1292 0.6157  10 Sn 3.68-4.00, 6 Mg 3.75-4.08

***

2.
K2VTe4 after structural relaxation, computed with PBE.

Values from the calculation:
The calculation puts the density at 4.202 g cm⁻³. The formation energy without anion corrections comes out at -394 meV per atom.

a b c (Å): 5.2661 5.2661 9.8447
angles (deg): 74.49 74.49 90.00
Last column: nearest neighbours and their distance in Å.
Fractional coordinates of all 7 atoms:
K: 0.6547 0.6547 0.6905  9 Te 3.55-3.86
Te: 0.1504 0.1504 0.6991  1 V 2.74
Te: 0.5000 0.0000 0.0000  2 V 2.63
K: 0.3453 0.3453 0.3095  9 Te 3.55-3.86
V: 0.0000 0.0000 0.0000  6 Te 2.63-2.74
Te: 0.0000 0.5000 0.0000  2 V 2.63
Te: 0.8496 0.8496 0.3009  1 V 2.74

***

3.
Cs3RbF after structural relaxation, computed with PBE.

Values from the calculation:
The calculation puts the density at 2.649 g cm⁻³. The formation energy without anion corrections comes out at -937 meV per atom. The distance to the lowest polymorph of the same formula comes out at 110 meV/atom.

a b c (Å): 6.8075 6.8075 6.8075
angles (deg): 90.00 90.00 90.00
Last column: nearest neighbours and their distance in Å.
Fractional coordinates of all 5 atoms:
Cs: 0.5000 0.0000 0.0000  2 F 3.40
F: 0.0000 0.0000 0.0000  6 Cs 3.40
Cs: 0.0000 0.5000 0.0000  2 F 3.40
Rb: 0.5000 0.5000 0.5000  12 Cs 4.81
Cs: 0.0000 0.0000 0.5000  2 F 3.40